Entry from Alexandria via LeMat-Bulk: crystalline KCaSb2 at its relaxed geometry (PBE).

Lattice parameters (Å, degrees): 4.382 4.382 7.154 90.00 90.00 90.00
Fractional positions:
Ca (0.000, 0.000, 0.429)
K (0.500, 0.500, 0.781)
Sb (0.500, 0.500, 0.280)
Sb (0.000, 0.000, 0.010)

Values from the calculation:
ΔE_f (raw) = -0.75 eV/f.u.
Crystal system = tetragonal


Entry from Alexandria via LeMat-Bulk: crystalline CdSn4Pb2 at its relaxed geometry (PBE).

Lattice parameters (Å, degrees): 3.369 5.681 11.062 104.88 90.00 90.00
Fractional positions:
Sn (0.000, 0.076, 0.152)
Sn (0.000, 0.924, 0.848)
Sn (0.500, 0.623, 0.245)
Sn (0.500, 0.377, 0.755)
Cd (0.000, 0.500, 0.000)
Pb (0.500, 0.212, 0.423)
Pb (0.500, 0.788, 0.577)

Values from the calculation:
E_form = 0.09 eV per atom
Crystal system = orthorhombic


Entry from Alexandria via LeMat-Bulk: crystalline AcNd6Dy2Ho at its relaxed geometry (PBE).

Lattice parameters (Å, degrees): 9.763 9.074 9.074 117.52 93.03 93.03
Fractional positions:
Dy (0.953, 0.686, 0.795)
Dy (0.453, 0.795, 0.686)
Dy (0.547, 0.205, 0.314)
Dy (0.047, 0.314, 0.205)
Ho (0.250, 0.413, 0.587)
Ho (0.750, 0.587, 0.413)
Nd (0.118, 0.710, 0.491)
Nd (0.315, 0.992, 0.444)
Nd (0.382, 0.509, 0.290)
Nd (0.815, 0.444, 0.992)
Nd (0.554, 0.754, 0.124)
Nd (0.618, 0.491, 0.710)
Nd (0.446, 0.246, 0.876)
Nd (0.882, 0.290, 0.509)
Nd (0.185, 0.556, 0.008)
Nd (0.054, 0.124, 0.754)
Nd (0.685, 0.008, 0.556)
Nd (0.946, 0.876, 0.246)
Ac (0.750, 0.027, 0.973)
Ac (0.250, 0.973, 0.027)

Values from the calculation:
E_form = 0.12 eV per atom
Crystal system = monoclinic


Entry from Alexandria via LeMat-Bulk: crystalline Cu2TcPt at its relaxed geometry (PBE).

Lattice parameters (Å, degrees): 6.834 6.834 5.470 51.34 51.34 90.00
Fractional positions:
Tc (0.250, 0.750, 0.500)
Tc (0.500, 0.500, 0.000)
Cu (0.128, 0.625, 0.250)
Cu (0.875, 0.872, 0.750)
Cu (0.375, 0.378, 0.750)
Cu (0.622, 0.125, 0.250)
Pt (0.750, 0.250, 0.500)
Pt (0.000, 0.000, 0.000)

Values from the calculation:
E_form = 0.65 eV per atom
Crystal system = tetragonal


Entry from Alexandria via LeMat-Bulk: crystalline Y2ZrGa3Pt4 at its relaxed geometry (PBE).

Lattice parameters (Å, degrees): 4.114 4.114 11.482 90.00 90.00 90.00
Fractional positions:
Pt (0.000, 0.000, 0.000)
Pt (0.000, 0.500, 0.346)
Pt (0.500, 0.500, 0.000)
Pt (0.500, 0.000, 0.654)
Y (0.000, 0.500, 0.766)
Y (0.500, 0.000, 0.234)
Zr (0.500, 0.500, 0.500)
Ga (0.500, 0.000, 0.869)
Ga (0.000, 0.500, 0.131)
Ga (0.000, 0.000, 0.500)

Values from the calculation:
E_form = -0.97 eV per atom
Crystal system = tetragonal


Entry from Alexandria via LeMat-Bulk: crystalline CsHg7Au3 at its relaxed geometry (PBE).

Lattice parameters (Å, degrees): 9.171 9.171 9.653 61.64 61.64 60.00
Fractional positions:
Hg (0.080, 0.859, 0.407)
Hg (0.154, 0.359, 0.907)
Hg (0.920, 0.141, 0.593)
Hg (0.859, 0.654, 0.407)
Hg (0.654, 0.080, 0.407)
Hg (0.141, 0.346, 0.593)
Hg (0.846, 0.641, 0.093)
Hg (0.359, 0.580, 0.907)
Hg (0.346, 0.920, 0.593)
Hg (0.580, 0.154, 0.907)
Hg (0.750, 0.750, 0.750)
Hg (0.250, 0.250, 0.250)
Hg (0.641, 0.420, 0.093)
Hg (0.420, 0.846, 0.093)
Au (0.926, 0.250, 0.250)
Au (0.074, 0.750, 0.750)
Au (0.250, 0.574, 0.250)
Au (0.574, 0.926, 0.250)
Au (0.426, 0.074, 0.750)
Au (0.750, 0.426, 0.750)
Cs (0.500, 0.500, 0.500)
Cs (0.000, 0.000, 0.000)

Values from the calculation:
E_form = -0.07 eV per atom
Crystal system = trigonal


Entry from Alexandria via LeMat-Bulk: crystalline TbBC2 at its relaxed geometry (PBE).

Lattice parameters (Å, degrees): 3.585 4.050 7.370 90.00 90.00 90.00
Fractional positions:
C (0.500, 0.408, 0.427)
C (0.500, 0.592, 0.573)
C (0.500, 0.408, 0.073)
C (0.500, 0.592, 0.927)
Tb (0.000, 0.270, 0.750)
Tb (0.000, 0.730, 0.250)
B (0.500, 0.772, 0.750)
B (0.500, 0.228, 0.250)

Values from the calculation:
E_form = 0.02 eV per atom
Crystal system = orthorhombic


Entry from Alexandria via LeMat-Bulk: crystalline NbCuPdRh at its relaxed geometry (PBE).

Lattice parameters (Å, degrees): 4.400 4.400 4.400 60.00 60.00 60.00
Fractional positions:
Cu (0.250, 0.250, 0.250)
Nb (0.750, 0.750, 0.750)
Rh (0.000, 0.000, 0.000)
Pd (0.500, 0.500, 0.500)

Values from the calculation:
E_form = -0.23 eV per atom
Crystal system = cubic


Entry from Alexandria via LeMat-Bulk: crystalline SnGe2Pt7Pb2 at its relaxed geometry (PBE).

Lattice parameters (Å, degrees): 3.956 3.956 15.996 82.92 82.92 89.98
Fractional positions:
Pt (0.500, 0.500, 0.000)
Pt (0.432, 0.932, 0.137)
Pt (0.305, 0.305, 0.389)
Pt (0.932, 0.432, 0.137)
Pt (0.695, 0.695, 0.611)
Pt (0.568, 0.068, 0.863)
Pt (0.068, 0.568, 0.863)
Sn (0.000, 0.000, 0.000)
Pb (0.789, 0.789, 0.423)
Pb (0.211, 0.211, 0.577)
Ge (0.383, 0.383, 0.235)
Ge (0.617, 0.617, 0.765)

Values from the calculation:
E_form = -0.32 eV per atom
Crystal system = tetragonal


Entry from Alexandria via LeMat-Bulk: crystalline Cs3Pu2O6 at its relaxed geometry (PBE).

Lattice parameters (Å, degrees): 4.326 4.326 13.358 99.32 99.32 90.00
Fractional positions:
Cs (0.805, 0.805, 0.610)
Cs (0.000, 0.000, 0.000)
Cs (0.195, 0.195, 0.390)
O (0.909, 0.409, 0.817)
O (0.409, 0.909, 0.817)
O (0.091, 0.591, 0.183)
O (0.322, 0.323, 0.645)
O (0.678, 0.677, 0.355)
O (0.591, 0.091, 0.183)
Pu (0.601, 0.601, 0.202)
Pu (0.399, 0.399, 0.798)

Values from the calculation:
ΔE_f (raw) = -25.03 eV/f.u.
Crystal system = tetragonal


Entry from Alexandria via LeMat-Bulk: crystalline HoBi2S6 at its relaxed geometry (PBE).

Lattice parameters (Å, degrees): 6.261 6.261 12.641 90.00 90.00 90.00
Fractional positions:
Bi (0.500, 0.500, 0.836)
Bi (0.500, 0.500, 0.164)
Bi (0.000, 0.000, 0.336)
Bi (0.000, 0.000, 0.664)
Ho (0.500, 0.500, 0.500)
Ho (0.000, 0.000, 0.000)
S (0.308, 0.308, 0.666)
S (0.308, 0.308, 0.334)
S (0.808, 0.192, 0.834)
S (0.196, 0.804, 0.500)
S (0.192, 0.808, 0.834)
S (0.192, 0.808, 0.166)
S (0.692, 0.692, 0.334)
S (0.804, 0.196, 0.500)
S (0.304, 0.304, 0.000)
S (0.808, 0.192, 0.166)
S (0.692, 0.692, 0.666)
S (0.696, 0.696, 0.000)

Values from the calculation:
ΔE_f (raw) = -3.55 eV/f.u.
Crystal system = tetragonal


Entry from Alexandria via LeMat-Bulk: crystalline Pm5Sm2Bi5 at its relaxed geometry (PBE).

Lattice parameters (Å, degrees): 4.531 7.791 13.119 109.35 90.00 106.90
Fractional positions:
Pm (0.280, 0.561, 0.659)
Pm (0.339, 0.678, 0.965)
Pm (0.500, 0.000, 0.500)
Pm (0.661, 0.322, 0.035)
Pm (0.720, 0.439, 0.341)
Bi (0.695, 0.390, 0.789)
Bi (0.120, 0.240, 0.434)
Bi (0.000, 0.000, 0.000)
Bi (0.880, 0.760, 0.566)
Bi (0.305, 0.610, 0.211)
Sm (0.955, 0.910, 0.214)
Sm (0.045, 0.090, 0.786)

Values from the calculation:
E_form = -0.67 eV per atom
Crystal system = monoclinic


Which magnetization belongs to each record? In order, 0.000; 0.000; 0.000; 0.000; 0.000; 0.000; 0.000; 0.000; 0.000; 0.636; 0.000; 0.000 μB per atom.